This record from the Alexandria database describes a relaxed structure of Y7SiI12. The functional is PBE.

Summary:
Electronic total energy in eV per formula unit: -94.57
Total moment in μB per cell: 0.00
Formation energy from raw total energies in eV per atom: -1.265

Cell lengths 9.7176, 9.7176, 9.7176 Å; angles 107.85, 107.85, 107.85 degrees
Element x y z (fractional)
Y 0.9683 0.6921 0.8981
Y 0.3079 0.1019 0.0317
Y 0.1019 0.0317 0.3079
Y 0.5000 0.5000 0.5000
Y 0.8981 0.9683 0.6921
Y 0.6921 0.8981 0.9683
Y 0.0317 0.3079 0.1019
Si 0.0000 0.0000 0.0000
I 0.9224 0.3145 0.7716
I 0.6855 0.2284 0.0776
I 0.4675 0.1547 0.3883
I 0.8453 0.6117 0.5325
I 0.2284 0.0776 0.6855
I 0.6117 0.5325 0.8453
I 0.3883 0.4675 0.1547
I 0.7716 0.9224 0.3145
I 0.1547 0.3883 0.4675
I 0.5325 0.8453 0.6117
I 0.3145 0.7716 0.9224
I 0.0776 0.6855 0.2284